VASP calculation (PBE) on a geometry-optimized Dy2CoC2 structure.

Calculated values
* DOS(E_F): 17.72 states/eV/cell
* energy above the lowest structure with this stoichiometry: 0.00 eV per formula unit
* DFT formation energy: -1.02 eV per formula unit
* SG: No. 62

Cell lengths 6.2297, 5.0292, 9.6829 Å; angles 90.00, 90.00, 90.00 degrees
Closest atoms and distances in Å follow each position.
Fractional positions:
Dy  0.0164  0.2500  0.2187  4 C 2.49-2.63
Dy  0.1842  0.2500  0.5544  5 C 2.41-2.52
Dy  0.3158  0.7500  0.0544  5 C 2.41-2.52
Dy  0.4836  0.7500  0.7187  4 C 2.49-2.63
Dy  0.5164  0.2500  0.2813  4 C 2.49-2.63
Dy  0.6842  0.2500  0.9456  5 C 2.41-2.52
Dy  0.8158  0.7500  0.4456  5 C 2.41-2.52
Dy  0.9836  0.7500  0.7813  4 C 2.49-2.63
Co  0.2320  0.2500  0.8555  3 C 1.85-1.89
Co  0.2680  0.7500  0.3555  3 C 1.85-1.89
Co  0.7320  0.2500  0.6445  3 C 1.85-1.89
Co  0.7680  0.7500  0.1445  3 C 1.85-1.89
C  0.0320  0.7500  0.2391  2 Co 1.85-1.88
C  0.1889  0.7500  0.5443  1 Co 1.89
C  0.3111  0.2500  0.0443  1 Co 1.89
C  0.4680  0.2500  0.7391  2 Co 1.85-1.88
C  0.5320  0.7500  0.2609  2 Co 1.85-1.88
C  0.6889  0.7500  0.9557  1 Co 1.89
C  0.8111  0.2500  0.4557  1 Co 1.89
C  0.9680  0.2500  0.7609  2 Co 1.85-1.88

VASP calculation (PBE) on a geometry-optimized Dy2CoC2 structure.

Calculated values
* DOS(E_F): 6.22 states/eV/cell
* energy above the lowest structure with this stoichiometry: 0.56 eV per formula unit
* DFT formation energy: -0.46 eV per formula unit
* SG: No. 15

Cell lengths 4.9171, 4.9171, 7.1408 Å; angles 95.43, 95.43, 56.95 degrees
Closest atoms and distances in Å follow each position.
Fractional positions:
Dy  0.0969  0.2188  0.1214  4 C 2.52-2.69, 1 Co 2.75
Dy  0.2188  0.0969  0.6214  4 C 2.52-2.69, 1 Co 2.75
Dy  0.7812  0.9031  0.3786  4 C 2.52-2.69, 1 Co 2.75
Dy  0.9031  0.7812  0.8786  4 C 2.52-2.69, 1 Co 2.75
Co  0.3963  0.6037  0.2500  4 C 1.97-2.02
Co  0.6037  0.3963  0.7500  4 C 1.97-2.02
C  0.3470  0.5023  0.5081  1 C 1.51
C  0.4977  0.6530  0.9919  1 C 1.51
C  0.5023  0.3470  0.0081  1 C 1.51
C  0.6530  0.4977  0.4919  1 C 1.51